Entry from Alexandria via LeMat-Bulk: a relaxed structure of KLi3Sc (PBEsol).

Unit cell a=5.115 b=5.115 c=5.115 alpha=90.00 beta=90.00 gamma=90.00
Positions (direct):
K  0.000  0.000  0.000
Li  0.000  0.000  0.500
Li  0.000  0.500  0.000
Li  0.500  0.000  0.000
Sc  0.500  0.500  0.500

**Raw total energy**: -1.919 eV per atom
**ΔE_f**: 0.809 eV/atom